## LaIr4W (PBE)

Data for crystalline LaIr4W at its relaxed geometry.

a b c (Å): 5.306 5.306 5.306
angles (deg): 60.00 60.00 60.00
Positions (direct):
La1 0.750 0.750 0.750
Ir1 0.875 0.375 0.375
Ir2 0.375 0.375 0.875
Ir3 0.375 0.875 0.375
Ir4 0.375 0.375 0.375
W1 0.000 0.000 0.000

Values from the calculation:
Raw total energy (eV/atom): -8.829
Symmetry: No. 216
Formation energy from the elements (eV per atom): 0.059
Size of the total moment (μB/atom): 0.00